Entry 1:
ZrRhSCl2 | GGA-PBE | relaxed

Lattice parameters (Å, degrees): 4.9964 4.9964 5.0027 90.00 90.00 90.00
Fractional positions:
S  0.0000  0.0000  0.5000
Rh  0.5000  0.5000  0.5000
Zr  0.0000  0.0000  0.0000
Cl  0.0000  0.5000  0.0000
Cl  0.5000  0.0000  0.0000

Calculated values
ΔE_f (raw), meV per atom: -271
M_tot, μB/f.u.: 1.6

***

Entry 2:
MnAg2Pt | GGA-PBE | relaxed

Lattice parameters (Å, degrees): 5.1069 5.1069 5.1069 134.83 135.04 65.63
Fractional positions:
Ag  0.0003  0.0003  0.0000
Ag  0.4997  0.4997  0.0000
Mn  0.7500  0.2500  0.5000
Pt  0.2500  0.7500  0.5000

Calculated values
Energy of formation, eV/atom: -0.026
M_tot, μB/f.u.: 4.4

***

Entry 3:
USCl | GGA-PBE | relaxed

Lattice parameters (Å, degrees): 3.4202 3.4202 7.0682 104.00 104.00 90.00
Fractional positions:
S  0.0540  0.0540  0.1081
U  0.6559  0.6559  0.3118
Cl  0.2901  0.2901  0.5801

Calculated values
ΔE_f (raw), meV per atom: -1329
M_tot, μB/f.u.: 2.8

***

Entry 4:
AcSnAs | GGA-PBE | relaxed

Lattice parameters (Å, degrees): 3.9356 3.9356 6.2006 108.50 108.50 90.00
Fractional positions:
As  0.6951  0.6951  0.3902
Ac  0.0041  0.0041  0.0083
Sn  0.3008  0.3008  0.6016

Calculated values
Energy of formation, eV/atom: -0.521
M_tot, μB/f.u.: 0.0

***

Entry 5:
KTa2Cu | GGA-PBE | relaxed

Lattice parameters (Å, degrees): 4.9481 4.9481 3.0274 90.00 90.00 90.00
Fractional positions:
Cu  0.5000  0.0000  0.5000
K  0.0000  0.5000  0.5000
Ta  0.0000  0.0000  0.0000
Ta  0.5000  0.5000  0.0000

Calculated values
Energy of formation, eV/atom: 1.746
M_tot, μB/f.u.: 0.0

***

Entry 6:
CoPS2N | GGA-PBE | relaxed

Lattice parameters (Å, degrees): 6.0079 3.1718 8.5485 90.00 110.35 90.00
Fractional positions:
Co  0.2610  0.0000  0.3456
Co  0.2610  0.5000  0.8456
P  0.0504  0.0000  0.5042
P  0.0504  0.5000  0.0042
S  0.7618  0.0000  0.8872
S  0.7618  0.5000  0.3872
S  0.4916  0.0000  0.9968
S  0.4916  0.5000  0.4968
N  0.1314  0.0000  0.7020
N  0.1314  0.5000  0.2020

Calculated values
ΔE_f (raw), meV per atom: 97
M_tot, μB/f.u.: 0.0

***

Entry 7:
Nd5Ni2Ge | GGA-PBE | relaxed

Lattice parameters (Å, degrees): 7.8602 7.8602 8.6359 117.07 117.07 90.00
Fractional positions:
Nd  0.5200  0.6965  0.7166
Nd  0.8035  0.9800  0.2834
Nd  0.0000  0.0000  0.0000
Nd  0.5000  0.5000  0.0000
Nd  0.1965  0.0200  0.7166
Nd  0.6965  0.1965  0.7166
Nd  0.0200  0.5200  0.7166
Nd  0.3035  0.8035  0.2834
Nd  0.9800  0.4800  0.2834
Nd  0.4800  0.3035  0.2834
Ni  0.1232  0.3768  0.0000
Ni  0.6232  0.1232  0.0000
Ni  0.3768  0.8768  0.0000
Ni  0.8768  0.6232  0.0000
Ge  0.7500  0.7500  0.5000
Ge  0.2500  0.2500  0.5000

Calculated values
Energy of formation, eV/atom: -0.372
M_tot, μB/f.u.: 0.0

***

Entry 8:
SrTiSb2 | GGA-PBE | relaxed

Lattice parameters (Å, degrees): 8.0339 8.0339 6.8479 54.08 54.08 90.00
Fractional positions:
Sb  0.5715  0.1250  0.2500
Sb  0.1785  0.6250  0.2500
Sb  0.3750  0.4285  0.7500
Sb  0.8750  0.8215  0.7500
Ti  0.5000  0.5000  0.0000
Ti  0.2500  0.7500  0.5000
Sr  0.0000  0.0000  0.0000
Sr  0.7500  0.2500  0.5000

Calculated values
ΔE_f (raw), meV per atom: -393
M_tot, μB/f.u.: 0.3

***

Entry 9:
Na7Ca2 | GGA-PBE | relaxed

Lattice parameters (Å, degrees): 6.5648 6.5648 9.3328 90.00 90.00 120.00
Fractional positions:
Na  0.0000  0.0000  0.0000
Na  0.6717  0.0000  0.3348
Na  0.0000  0.6717  0.3348
Na  0.3283  0.3283  0.3348
Na  0.0000  0.3283  0.6652
Na  0.3283  0.0000  0.6652
Na  0.6717  0.6717  0.6652
Ca  0.3333  0.6667  0.0000
Ca  0.6667  0.3333  0.0000

Calculated values
Energy of formation, eV/atom: 0.064
M_tot, μB/f.u.: 0.0

***

Entry 10:
ScSnPO2 | GGA-PBE | relaxed

Lattice parameters (Å, degrees): 4.0103 4.0103 5.4935 90.00 90.00 90.00
Fractional positions:
Sc  0.0000  0.0000  0.0000
P  0.0000  0.0000  0.5000
Sn  0.5000  0.5000  0.5000
O  0.0000  0.5000  0.0000
O  0.5000  0.0000  0.0000

Calculated values
ΔE_f (raw), meV per atom: -1193
M_tot, μB/f.u.: 0.7

***

Entry 11:
Pa2CdAu | GGA-PBE | relaxed

Lattice parameters (Å, degrees): 3.1509 3.1509 9.3274 90.00 90.00 90.00
Fractional positions:
Pa  0.0000  0.0000  0.7631
Pa  0.0000  0.0000  0.2369
Au  0.5000  0.5000  0.0000
Cd  0.5000  0.5000  0.5000

Calculated values
Energy of formation, eV/atom: -0.062
M_tot, μB/f.u.: 0.5

***

Entry 12:
BaTlCu3 | GGA-PBE | relaxed

Lattice parameters (Å, degrees): 5.8800 5.8800 5.8800 90.00 90.00 90.00
Fractional positions:
Tl  0.5000  0.5000  0.5000
Ba  0.0000  0.0000  0.0000
Cu  0.0000  0.5000  0.0000
Cu  0.0000  0.0000  0.5000
Cu  0.5000  0.0000  0.0000

Calculated values
Energy of formation, eV/atom: 1.067
M_tot, μB/f.u.: 0.0

***

Entry 13:
KTl2Rh | GGA-PBE | relaxed

Lattice parameters (Å, degrees): 4.7889 4.8055 4.3621 90.00 90.00 90.00
Fractional positions:
K  0.5000  0.0000  0.5000
Rh  0.0000  0.5000  0.5000
Tl  0.0000  0.0000  0.0000
Tl  0.5000  0.5000  0.0000

Calculated values
Energy of formation, eV/atom: 0.381
M_tot, μB/f.u.: 0.0

***

Entry 14:
NaMn2In2 | GGA-PBE | relaxed

Lattice parameters (Å, degrees): 3.2147 3.2147 9.8941 80.65 80.65 90.00
Fractional positions:
Na  0.0000  0.0000  0.0000
Mn  0.7500  0.2500  0.5000
Mn  0.2500  0.7500  0.5000
In  0.3694  0.3694  0.2611
In  0.6306  0.6306  0.7389

Calculated values
Energy of formation, eV/atom: 0.287
M_tot, μB/f.u.: 0.0

***

Entry 15:
BaGaH | GGA-PBE | relaxed

Lattice parameters (Å, degrees): 4.5123 4.5123 23.7862 90.00 90.00 120.00
Fractional positions:
Ba  0.0000  0.0000  0.2794
Ba  0.3333  0.6667  0.9461
Ba  0.6667  0.3333  0.6127
Ba  0.0000  0.0000  0.4758
Ba  0.3333  0.6667  0.1424
Ba  0.6667  0.3333  0.8091
Ga  0.0000  0.0000  0.0498
Ga  0.3333  0.6667  0.7165
Ga  0.6667  0.3333  0.3832
Ga  0.0000  0.0000  0.6970
Ga  0.3333  0.6667  0.3637
Ga  0.6667  0.3333  0.0303
H  0.0000  0.0000  0.1263
H  0.3333  0.6667  0.7930
H  0.6667  0.3333  0.4596
H  0.0000  0.0000  0.8742
H  0.3333  0.6667  0.5409
H  0.6667  0.3333  0.2076

Calculated values
M_tot, μB/f.u.: 0.0
Calculated total energy, eV/cell: -57.616

***

Entry 16:
CsInBi4 | GGA-PBE | relaxed

Lattice parameters (Å, degrees): 8.0123 8.2011 8.5222 118.76 81.33 90.00
Fractional positions:
Cs  0.8629  0.7730  0.5459
Cs  0.1371  0.2270  0.4541
In  0.2232  0.5458  0.0915
In  0.7768  0.4542  0.9085
Bi  0.4092  0.7080  0.4159
Bi  0.4073  0.1231  0.8251
Bi  0.0000  0.2104  0.0000
Bi  0.5927  0.2980  0.1749
Bi  0.5908  0.2920  0.5841
Bi  0.5927  0.8769  0.1749
Bi  0.0000  0.7896  0.0000
Bi  0.4073  0.7020  0.8251

Calculated values
Energy of formation, eV/atom: -0.102
M_tot, μB/f.u.: 0.0

***

Entry 17:
BaTc2WN | GGA-PBE | relaxed

Lattice parameters (Å, degrees): 4.6337 6.9637 4.6337 90.00 90.00 90.00
Fractional positions:
N  0.5000  0.5000  0.5000
Ba  0.0000  0.5000  0.0000
W  0.0000  0.0000  0.0000
Tc  0.0000  0.0000  0.5000
Tc  0.5000  0.0000  0.0000

Calculated values
ΔE_f (raw), meV per atom: 2200
M_tot, μB/f.u.: 2.7

***

Entry 18:
LaSi2Pt3 | GGA-PBE | relaxed

Lattice parameters (Å, degrees): 4.1311 7.8862 8.5710 55.00 76.05 74.82
Fractional positions:
La  0.8427  0.2345  0.0801
La  0.1573  0.7655  0.9199
Si  0.5148  0.1376  0.8327
Si  0.4852  0.8624  0.1673
Si  0.8232  0.7087  0.6449
Si  0.1768  0.2913  0.3551
Pt  0.3858  0.5055  0.7230
Pt  0.0320  0.2786  0.6574
Pt  0.6796  0.0608  0.5800
Pt  0.3204  0.9392  0.4200
Pt  0.9680  0.7214  0.3426
Pt  0.6142  0.4945  0.2770

Calculated values
ΔE_f (raw), meV per atom: -988
M_tot, μB/f.u.: 0.0

***

Entry 19:
GdTmGeAu | GGA-PBE | relaxed

Lattice parameters (Å, degrees): 5.0660 5.0660 5.0660 60.00 60.00 60.00
Fractional positions:
Gd  0.0000  0.0000  0.0000
Ge  0.2500  0.2500  0.2500
Tm  0.5000  0.5000  0.5000
Au  0.7500  0.7500  0.7500

Calculated values
Energy of formation, eV/atom: -0.760
M_tot, μB/f.u.: 7.7

***

Entry 20:
Gd2PuSn | GGA-PBE | relaxed

Lattice parameters (Å, degrees): 5.4144 5.4144 5.4144 60.00 60.00 60.00
Fractional positions:
Gd  0.2500  0.2500  0.2500
Gd  0.7500  0.7500  0.7500
Sn  0.5000  0.5000  0.5000
Pu  0.0000  0.0000  0.0000

Calculated values
Energy of formation, eV/atom: -0.212
M_tot, μB/f.u.: 22.0